Compound: CoSiO3
Source: OQMD
Functional: GGA+U
Structure: optimized geometry

Raw total energy: -5.338 eV/atom

Structure (POSCAR):
```
CoSiO3
1.0
3.665 0.000 0.000
0.000 3.665 0.000
0.000 0.000 3.665
O Si Co
3 1 1
direct
0.500 0.000 0.500
0.500 0.500 0.000
0.000 0.500 0.500
0.000 0.000 0.000
0.500 0.500 0.500
```